Below is an optimized crystal structure of LaDy7Ho12, with properties calculated at the PBE-GGA level.

```
data_LaDy7Ho12
_chemical_formula_sum 'La3 Dy21 Ho36'
_cell_length_a 11.9926
_cell_length_b 11.9926
_cell_length_c 15.7428
_cell_angle_alpha 90.00
_cell_angle_beta 90.00
_cell_angle_gamma 120.00
_space_group_name_H-M_alt 'R -3'
_space_group_IT_number 148
_space_group_name_Hall '-R 3'
loop_
_atom_site_label
_atom_site_fract_x
_atom_site_fract_y
_atom_site_fract_z
_atom_site_occupancy
La1 0.0000 0.0000 0.0000 1
Dy1 0.0000 0.0000 0.5000 1
Dy2 0.0462 0.4600 0.5841 1
Ho1 0.0208 0.5711 0.2163 1
Ho2 0.0505 0.8614 0.2956 1
```

Values from the calculation:
* crystal system: trigonal
* DFT formation energy: 4.79 eV per formula unit


Below is an optimized crystal structure of LaDy2Ho6, with properties calculated at the PBE-GGA level.

```
data_LaDy2Ho6
_chemical_formula_sum 'La3 Dy6 Ho18'
_cell_length_a 7.3307
_cell_length_b 7.3307
_cell_length_c 19.0660
_cell_angle_alpha 90.00
_cell_angle_beta 90.00
_cell_angle_gamma 120.00
_space_group_name_H-M_alt 'R 3 m'
_space_group_IT_number 160
_space_group_name_Hall 'R 3 -2"'
loop_
_atom_site_label
_atom_site_fract_x
_atom_site_fract_y
_atom_site_fract_z
_atom_site_occupancy
La1 0.0000 0.0000 0.0000 1
Dy1 0.0000 0.0000 0.2617 1
Dy2 0.0000 0.0000 0.4389 1
Ho1 0.0151 0.5075 0.4508 1
Ho2 0.0425 0.5212 0.2523 1
```

Values from the calculation:
* crystal system: trigonal
* DFT formation energy: 2.91 eV per formula unit


For each record above, in turn, the calculated relative energy among the computed polymorphs values are 0.000, 2.264 eV per formula unit.
For each record above, in turn, the calculated total moment values are 0.00, 0.00 μB/f.u..